[1]
DFT (PBE-GGA) results for an optimized crystal structure of SiPIr2.

```
data_SiPIr2
_chemical_formula_sum 'Si4 P4 Ir8'
_symmetry_space_group_name_H-M 'I -4 2 d'
_symmetry_Int_Tables_number 122
_symmetry_space_group_name_Hall 'I -4 2bw'
_cell_length_a 5.298
_cell_length_b 5.298
_cell_length_c 10.616
_cell_angle_alpha 90.00
_cell_angle_beta 90.00
_cell_angle_gamma 90.00
loop_
_atom_site_label
_atom_site_fract_x
_atom_site_fract_y
_atom_site_fract_z
Si1 0.000 0.000 0.000
P1 0.000 0.000 0.500
Ir1 0.238 0.250 0.625
```

VASP energy = -7.45 eV per atom

[2]
DFT (PBE-GGA) results for an optimized crystal structure of Zr2Np3TiN6.

```
data_Zr2Np3TiN6
_chemical_formula_sum 'Zr4 Np6 Ti2 N12'
_symmetry_space_group_name_H-M 'C 1 2/m 1'
_symmetry_Int_Tables_number 12
_cell_length_a 5.696
_cell_length_b 9.861
_cell_length_c 5.799
_cell_angle_alpha 90.00
_cell_angle_beta 109.13
_cell_angle_gamma 90.00
loop_
_symmetry_equiv_pos_as_xyz
'x,y,z'
'-x,-y,-z'
'-x,y,-z'
'x,-y,z'
'x+1/2,y+1/2,z'
'-x+1/2,-y+1/2,-z'
'-x+1/2,y+1/2,-z'
'x+1/2,-y+1/2,z'
loop_
_atom_site_label
_atom_site_fract_x
_atom_site_fract_y
_atom_site_fract_z
Zr1 0.000 0.167 0.000
Np1 0.000 0.000 0.500
Np2 0.000 0.333 0.500
Ti1 0.000 0.500 0.000
N1 0.238 0.338 0.231
N2 0.246 0.500 0.767
```

VASP energy = -10.88 eV per atom

[3]
DFT (PBE-GGA) results for an optimized crystal structure of La12Pr7Tm.

```
data_La12Pr7Tm
_chemical_formula_sum 'La36 Pr21 Tm3'
_symmetry_space_group_name_H-M 'R -3'
_symmetry_Int_Tables_number 148
_symmetry_space_group_name_Hall '-R 3'
_cell_length_a 12.6787
_cell_length_b 12.6787
_cell_length_c 15.6254
_cell_angle_alpha 90.00
_cell_angle_beta 90.00
_cell_angle_gamma 120.00
loop_
_atom_site_label
_atom_site_fract_x
_atom_site_fract_y
_atom_site_fract_z
La1 0.0241 0.5796 0.2232
La2 0.0678 0.4760 0.5767
Pr1 0.0000 0.0000 0.0000
Pr2 0.0605 0.8751 0.3020
Tm1 0.0000 0.0000 0.5000
```

Formation energy = 0.1725 eV/atom

[4]
DFT (PBE-GGA) results for an optimized crystal structure of La4HoTe7.

```
data_La4HoTe7
_chemical_formula_sum 'La8 Ho2 Te14'
_symmetry_space_group_name_H-M 'C 1 m 1'
_symmetry_Int_Tables_number 8
_cell_length_a 14.877
_cell_length_b 4.424
_cell_length_c 13.482
_cell_angle_alpha 90.00
_cell_angle_beta 104.91
_cell_angle_gamma 90.00
loop_
_symmetry_equiv_pos_as_xyz
'x,y,z'
'x,-y,z'
'x+1/2,y+1/2,z'
'x+1/2,-y+1/2,z'
loop_
_atom_site_label
_atom_site_fract_x
_atom_site_fract_y
_atom_site_fract_z
La1 0.000 0.000 0.000
La2 0.089 0.500 0.379
La3 0.191 0.000 0.766
La4 0.389 0.500 0.566
Ho1 0.271 0.500 0.146
Te1 0.050 0.500 0.622
Te2 0.130 0.500 0.927
Te3 0.157 0.000 0.221
Te4 0.226 0.000 0.521
Te5 0.351 0.500 0.786
Te6 0.375 0.000 0.068
Te7 0.424 0.500 0.345
```

VASP energy = -5.40 eV per atom

[5]
DFT (PBE-GGA) results for an optimized crystal structure of Al2GaAu7.

```
data_Al2GaAu7
_chemical_formula_sum 'Al4 Ga2 Au14'
_symmetry_space_group_name_H-M 'C m m m'
_symmetry_Int_Tables_number 65
_symmetry_space_group_name_Hall '-C 2 2'
_cell_length_a 7.527
_cell_length_b 12.905
_cell_length_c 4.488
_cell_angle_alpha 90.00
_cell_angle_beta 90.00
_cell_angle_gamma 90.00
loop_
_atom_site_label
_atom_site_fract_x
_atom_site_fract_y
_atom_site_fract_z
Al1 0.000 0.199 0.000
Ga1 0.000 0.500 0.500
Au1 0.000 0.000 0.000
Au2 0.000 0.289 0.500
Au3 0.189 0.386 0.000
```

Formation energy = -0.0921 eV/atom

[6]
DFT (PBE-GGA) results for an optimized crystal structure of TbSm5In2.

```
data_TbSm5In2
_chemical_formula_sum 'Tb2 Sm10 In4'
_symmetry_space_group_name_H-M 'P b a m'
_symmetry_Int_Tables_number 55
_cell_length_a 6.968
_cell_length_b 13.934
_cell_length_c 4.914
_cell_angle_alpha 90.00
_cell_angle_beta 90.00
_cell_angle_gamma 90.00
loop_
_symmetry_equiv_pos_as_xyz
'x,y,z'
'-x,-y,-z'
'-x,-y,z'
'x,y,-z'
'x+1/2,-y+1/2,-z'
'-x+1/2,y+1/2,z'
'-x+1/2,y+1/2,-z'
'x+1/2,-y+1/2,z'
loop_
_atom_site_label
_atom_site_fract_x
_atom_site_fract_y
_atom_site_fract_z
Tb1 0.000 0.000 0.000
Sm1 0.000 0.500 0.000
Sm2 0.001 0.249 0.000
Sm3 0.249 0.625 0.500
In1 0.248 0.876 0.500
```

Formation energy = -0.2727 eV/atom